(1)
NpFeGe2Os | PBE-GGA | relaxed

Cell: 4.0752 4.0752 10.3116 Å, 90.00 90.00 90.00°
With the nearest neighbours (Å) after each atom.
Space group I-4m2 (No. 119)
Asymmetric unit:
Np1 0.0000 0.0000 0.0000 (multiplicity 2)  8 Ge 3.15, 4 Fe 3.29, 4 Os 3.29
Fe1 0.0000 0.5000 0.7500 (multiplicity 2)  4 Ge 2.43
Ge1 0.0000 0.0000 0.3777 (multiplicity 4)  2 Fe 2.43, 2 Os 2.43, 1 Ge 2.52
Os1 0.0000 0.5000 0.2500 (multiplicity 2)  4 Ge 2.43

Results
Total magnetization, Bohr magnetons per cell: 4.91

=====

(2)
NpPaFeGe | PBE-GGA | relaxed

Cell: 6.6295 6.6295 6.6295 Å, 90.00 90.00 90.00°
With the nearest neighbours (Å) after each atom.
Space group F-43m (No. 216)
Asymmetric unit:
Np1 0.0000 0.0000 0.0000 (multiplicity 4)  4 Ge 2.87, 4 Pa 2.87
Pa1 0.2500 0.2500 0.2500 (multiplicity 4)  4 Fe 2.87, 4 Np 2.87
Fe1 0.0000 0.0000 0.5000 (multiplicity 4)  4 Ge 2.87, 4 Pa 2.87
Ge1 0.2500 0.2500 0.7500 (multiplicity 4)  4 Fe 2.87, 4 Np 2.87

Results
Total magnetization, Bohr magnetons per cell: 23.51

=====

no.,energy (eV per atom),calculated formation energy (eV/f.u.)
1,-8.487,-0.57
2,-8.744,0.54